No. 1
! NpReC, relaxed, DFT GGA-PBE; values from VASP
&SYSTEM
  ibrav = 0, nat = 6, ntyp = 3
/
ATOMIC_SPECIES
C 12.01 C.upf
Np 237.00 Np.upf
Re 186.21 Re.upf
CELL_PARAMETERS angstrom
4.033 -1.058 0.292
0.523 4.137 0.292
0.720 0.486 5.079
ATOMIC_POSITIONS crystal
C 0.185 0.185 0.111
Np 0.263 0.263 0.564
Np 0.737 0.737 0.436
Re 0.281 0.719 0.000
C 0.815 0.815 0.889
Re 0.719 0.281 0.000
! Density of states at the Fermi level, states/eV/atom: 1.426
! E, eV/f.u.: -33.55
! Formation enthalpy at 0 K, eV per atom: 0.356
! Excess energy over the best structure of this formula in the dataset, eV per atom: 0.1416
! Total magnetic moment, μB/cell: 5.25

=====

No. 2
! NpReC, relaxed, DFT GGA-PBE; values from VASP
&SYSTEM
  ibrav = 0, nat = 3, ntyp = 3
/
ATOMIC_SPECIES
C 12.01 C.upf
Np 237.00 Np.upf
Re 186.21 Re.upf
CELL_PARAMETERS angstrom
-0.580 -2.057 2.036
-1.307 -0.130 -2.643
4.224 -3.106 -1.935
ATOMIC_POSITIONS crystal
C 0.333 0.667 0.637
Np 0.000 0.000 0.936
Re 0.667 0.333 0.427
! Density of states at the Fermi level, states/eV/atom: 1.323
! E, eV/f.u.: -33.97
! Formation enthalpy at 0 K, eV per atom: 0.214
! Excess energy over the best structure of this formula in the dataset, eV per atom: 0.0000
! Total magnetic moment, μB/cell: 1.44

=====

No. 3
! NpReC2, relaxed, DFT GGA-PBE; values from VASP
&SYSTEM
  ibrav = 0, nat = 4, ntyp = 3
/
ATOMIC_SPECIES
Np 237.00 Np.upf
C 12.01 C.upf
Re 186.21 Re.upf
CELL_PARAMETERS angstrom
-3.003 -0.249 1.174
-2.111 -2.026 -1.376
-0.096 -4.666 3.219
ATOMIC_POSITIONS crystal
Np 0.500 0.500 0.500
C 0.739 0.739 0.782
C 0.261 0.261 0.218
Re 0.000 0.000 0.000
! Density of states at the Fermi level, states/eV/atom: 1.167
! E, eV/f.u.: -43.29
! Formation enthalpy at 0 K, eV per atom: 0.138
! Excess energy over the best structure of this formula in the dataset, eV per atom: 0.0000
! Total magnetic moment, μB/cell: 2.71

=====

No. 4
! NpTa2ReC4, relaxed, DFT GGA-PBE; values from VASP
&SYSTEM
  ibrav = 0, nat = 16, ntyp = 4
/
ATOMIC_SPECIES
Ta 180.95 Ta.upf
C 12.01 C.upf
Np 237.00 Np.upf
Re 186.21 Re.upf
CELL_PARAMETERS angstrom
3.193 0.000 0.000
-1.597 5.699 0.000
0.000 0.000 11.200
ATOMIC_POSITIONS crystal
Ta 0.371 0.743 0.963
Ta 0.629 0.257 0.037
C 0.453 0.906 0.750
C 0.000 0.000 0.000
C 0.266 0.532 0.115
C 0.734 0.468 0.885
Np 0.109 0.218 0.750
Np 0.891 0.782 0.250
C 0.000 0.000 0.500
C 0.266 0.532 0.385
C 0.547 0.094 0.250
Re 0.845 0.690 0.750
Ta 0.629 0.257 0.463
Re 0.155 0.310 0.250
C 0.734 0.468 0.615
Ta 0.371 0.743 0.537
! Density of states at the Fermi level, states/eV/atom: 0.921
! E, eV/f.u.: -87.04
! Formation enthalpy at 0 K, eV per atom: -0.132
! Total magnetic moment, μB/cell: 6.30

=====

No. 5
! Th2NpReC4, relaxed, DFT GGA-PBE; values from VASP
&SYSTEM
  ibrav = 0, nat = 16, ntyp = 4
/
ATOMIC_SPECIES
C 12.01 C.upf
Re 186.21 Re.upf
Th 232.04 Th.upf
Np 237.00 Np.upf
CELL_PARAMETERS angstrom
-3.546 -0.034 -0.231
2.136 -3.283 -4.957
-0.350 -10.738 6.962
ATOMIC_POSITIONS crystal
C 0.273 0.546 0.361
C 0.727 0.454 0.639
Re 0.835 0.671 0.750
C 0.000 0.000 0.000
Re 0.165 0.329 0.250
C 0.273 0.546 0.139
Th 0.366 0.731 0.961
Th 0.366 0.731 0.539
C 0.578 0.157 0.250
Th 0.634 0.269 0.039
Th 0.634 0.269 0.461
C 0.000 0.000 0.500
C 0.727 0.454 0.861
Np 0.100 0.201 0.750
C 0.422 0.843 0.750
Np 0.900 0.799 0.250
! Density of states at the Fermi level, states/eV/atom: 1.300
! E, eV/f.u.: -76.06
! Formation enthalpy at 0 K, eV per atom: 0.133
! Total magnetic moment, μB/cell: 9.05

=====

No. 6
! Np2UReC4, relaxed, DFT GGA-PBE; values from VASP
&SYSTEM
  ibrav = 0, nat = 16, ntyp = 4
/
ATOMIC_SPECIES
C 12.01 C.upf
Np 237.00 Np.upf
U 238.03 U.upf
Re 186.21 Re.upf
CELL_PARAMETERS angstrom
-2.354 2.178 0.532
-2.873 -5.337 -0.794
0.688 -2.107 11.669
ATOMIC_POSITIONS crystal
C 0.541 0.082 0.250
C 0.720 0.440 0.868
Np 0.636 0.273 0.046
C 0.000 0.000 0.000
U 0.110 0.221 0.750
Re 0.848 0.696 0.750
C 0.000 0.000 0.500
Re 0.152 0.304 0.250
Np 0.364 0.727 0.546
C 0.280 0.560 0.368
Np 0.636 0.273 0.454
Np 0.364 0.727 0.954
U 0.890 0.779 0.250
C 0.280 0.560 0.132
C 0.720 0.440 0.632
C 0.459 0.918 0.750
! Density of states at the Fermi level, states/eV/atom: 1.397
! E, eV/f.u.: -85.27
! Formation enthalpy at 0 K, eV per atom: 0.156
! Total magnetic moment, μB/cell: 7.78

=====

No. 7
! NpRhC, relaxed, DFT GGA-PBE; values from VASP
&SYSTEM
  ibrav = 0, nat = 6, ntyp = 3
/
ATOMIC_SPECIES
C 12.01 C.upf
Rh 102.91 Rh.upf
Np 237.00 Np.upf
CELL_PARAMETERS angstrom
-1.778 0.093 -2.908
-3.533 -2.660 -1.923
1.920 9.801 7.155
ATOMIC_POSITIONS crystal
C 0.523 0.494 0.842
Rh 0.523 0.940 0.315
Np 0.523 0.097 0.894
C 0.523 0.491 0.591
Rh 0.523 0.044 0.118
Np 0.523 0.887 0.539
! Density of states at the Fermi level, states/eV/atom: 1.693
! E, eV/f.u.: -29.52
! Formation enthalpy at 0 K, eV per atom: -0.002
! Total magnetic moment, μB/cell: 3.64

=====

No. 8
! Np2RuC, relaxed, DFT GGA-PBE; values from VASP
&SYSTEM
  ibrav = 0, nat = 4, ntyp = 3
/
ATOMIC_SPECIES
Np 237.00 Np.upf
C 12.01 C.upf
Ru 101.07 Ru.upf
CELL_PARAMETERS angstrom
-1.373 -1.998 1.978
1.701 -1.451 2.189
-1.389 5.201 6.764
ATOMIC_POSITIONS crystal
Np 0.919 0.919 0.243
Np 0.081 0.081 0.757
C 0.000 0.000 0.000
Ru 0.500 0.500 0.500
! Density of states at the Fermi level, states/eV/atom: 1.689
! E, eV/f.u.: -39.87
! Formation enthalpy at 0 K, eV per atom: 1.128
! Total magnetic moment, μB/cell: 5.05